Here is an optimized crystal structure of Cs2HgHPt from the Alexandria database. Energies are from GGA-PBE.

- E (eV/atom) = -2.33
- total moment (μB per atom) = 0.0000
- Fermi-level density of states (states/eV per atom) = 0.431
- energy above the lowest structure with this stoichiometry (kJ/mol of formula units) = 29

Unit cell a=6.7269 b=6.7269 c=3.6462 alpha=90.00 beta=90.00 gamma=90.00
Last column: nearest neighbours and their distance in Å.
Space group P4/mmm (No. 123)
Inequivalent atoms, fractional coordinates:
Cs  0.0000  0.5000  0.0000 [2 per cell]  2 Pt 3.36, 2 Cs 3.65
Hg  0.0000  0.0000  0.5000 [1 per cell]  2 Hg 3.65, 8 Cs 3.83
H  0.5000  0.5000  0.5000 [1 per cell]  2 Pt 1.82
Pt  0.5000  0.5000  0.0000 [1 per cell]  2 H 1.82

***

Here is an optimized crystal structure of Cs2Hg2H4Pt from the Alexandria database. Energies are from GGA-PBE.

- E (eV/atom) = -2.72
- total moment (μB per atom) = 0.0000

Unit cell a=7.1298 b=7.1298 c=8.5649 alpha=90.00 beta=90.00 gamma=90.00
Last column: nearest neighbours and their distance in Å.
Space group I4/mmm (No. 139)
Inequivalent atoms, fractional coordinates:
Cs  0.0000  0.5000  0.2500 [4 per cell]  8 H 3.41, 4 Hg 3.62
Hg  0.0000  0.0000  0.1743 [4 per cell]  1 Pt 2.79, 1 Hg 2.99
H  0.1659  0.1659  0.5000 [8 per cell]  1 Pt 1.67
Pt  0.0000  0.0000  0.5000 [2 per cell]  4 H 1.67

***

Here is an optimized crystal structure of Cs2HgH6Pt from the Alexandria database. Energies are from GGA-PBE.

- E (eV/atom) = -3.13
- total moment (μB per atom) = 0.0000
- Fermi-level density of states (states/eV per atom) = 0.000

Unit cell a=5.9370 b=5.9370 c=7.8891 alpha=90.00 beta=90.00 gamma=120.00
Last column: nearest neighbours and their distance in Å.
Space group P-3m1 (No. 164)
Inequivalent atoms, fractional coordinates:
Cs  0.3333  0.6667  0.1986 [2 per cell]  9 H 3.05-3.26
Hg  0.0000  0.0000  0.5000 [1 per cell]  6 H 3.29
H  0.1320  0.2639  0.8794 [6 per cell]  1 Pt 1.66
Pt  0.0000  0.0000  0.0000 [1 per cell]  6 H 1.66

***

Here is an optimized crystal structure of Cs2HgHPt from the Alexandria database. Energies are from GGA-PBE.

- E (eV/atom) = -2.39
- total moment (μB per atom) = 0.0000
- Fermi-level density of states (states/eV per atom) = 0.466
- energy above the lowest structure with this stoichiometry (kJ/mol of formula units) = 0

Unit cell a=6.4961 b=6.4961 c=3.6557 alpha=90.00 beta=90.00 gamma=90.00
Last column: nearest neighbours and their distance in Å.
Space group P4/mmm (No. 123)
Inequivalent atoms, fractional coordinates:
Cs  0.0000  0.5000  0.0000 [2 per cell]  2 H 3.25
Hg  0.0000  0.0000  0.5000 [1 per cell]  2 Hg 3.66, 8 Cs 3.73
H  0.5000  0.5000  0.0000 [1 per cell]  2 Pt 1.83
Pt  0.5000  0.5000  0.5000 [1 per cell]  2 H 1.83

***

Here is an optimized crystal structure of Cs2Rb6HgH from the Alexandria database. Energies are from GGA-PBE.

- E (eV/atom) = -1.13
- total moment (μB per atom) = 0.0001
- Fermi-level density of states (states/eV per atom) = 0.974

Unit cell a=9.5973 b=9.5973 c=15.6709 alpha=90.00 beta=90.00 gamma=90.00
Last column: nearest neighbours and their distance in Å.
Space group I4mm (No. 107)
Inequivalent atoms, fractional coordinates:
Cs  0.0000  0.5000  0.0000 [4 per cell]  12 Rb 4.83-5.33
Rb  0.0000  0.0000  0.4430 [2 per cell]  1 Hg 3.80
Rb  0.0000  0.0000  0.9642 [2 per cell]  1 H 2.89
Rb  0.2255  0.2255  0.7382 [8 per cell]  1 H 3.13
Hg  0.0000  0.0000  0.2003 [2 per cell]  6 Rb 3.70-3.80
H  0.0000  0.0000  0.7801 [2 per cell]  5 Rb 2.89-3.13

***

Here is an optimized crystal structure of CsRb2HgH5 from the Alexandria database. Energies are from GGA-PBE.

- E (eV/atom) = -2.35
- total moment (μB per atom) = 0.0000
- Fermi-level density of states (states/eV per atom) = 0.000

Unit cell a=8.0937 b=8.0937 c=12.2583 alpha=90.00 beta=90.00 gamma=90.00
Last column: nearest neighbours and their distance in Å.
Space group I4/mcm (No. 140)
Inequivalent atoms, fractional coordinates:
Cs  0.0000  0.0000  0.2500 [4 per cell]  10 H 3.06-3.38
Rb  0.1812  0.3188  0.0000 [8 per cell]  8 H 2.94-3.20
Hg  0.0000  0.5000  0.2500 [4 per cell]  4 H 1.82
H  0.0000  0.0000  0.0000 [4 per cell]  4 Rb 2.97, 2 Cs 3.06
H  0.1266  0.3734  0.3404 [16 per cell]  1 Hg 1.82

***

Here is an optimized crystal structure of Cs2RbHgH from the Alexandria database. Energies are from GGA-PBE.

- E (eV/atom) = -1.29
- total moment (μB per atom) = 0.0000
- Fermi-level density of states (states/eV per atom) = 0.138
- energy above the lowest structure with this stoichiometry (kJ/mol of formula units) = 34

Unit cell a=6.0161 b=6.0161 c=7.1859 alpha=90.00 beta=90.00 gamma=90.00
Last column: nearest neighbours and their distance in Å.
Space group P4/mmm (No. 123)
Inequivalent atoms, fractional coordinates:
Cs  0.0000  0.5000  0.0000 [2 per cell]  2 H 3.01
Rb  0.0000  0.0000  0.5000 [1 per cell]  4 Hg 4.25, 8 Cs 4.69
Hg  0.5000  0.5000  0.5000 [1 per cell]  2 H 3.59
H  0.5000  0.5000  0.0000 [1 per cell]  4 Cs 3.01

***

Here is an optimized crystal structure of Cs2RbHgH from the Alexandria database. Energies are from GGA-PBE.

- E (eV/atom) = -1.37
- total moment (μB per atom) = 0.0000
- Fermi-level density of states (states/eV per atom) = 0.650
- energy above the lowest structure with this stoichiometry (kJ/mol of formula units) = 0

Unit cell a=6.1874 b=6.1874 c=5.8943 alpha=90.00 beta=90.00 gamma=90.00
Last column: nearest neighbours and their distance in Å.
Space group P4/mmm (No. 123)
Inequivalent atoms, fractional coordinates:
Cs  0.0000  0.5000  0.0000 [2 per cell]  2 H 3.09
Rb  0.0000  0.0000  0.5000 [1 per cell]  2 H 2.95
Hg  0.5000  0.5000  0.5000 [1 per cell]  8 Cs 4.27, 4 Rb 4.38
H  0.0000  0.0000  0.0000 [1 per cell]  2 Rb 2.95, 4 Cs 3.09